1.
{
  "formula": "KRbTiSe3",
  "functional": "GGA-PBE",
  "state": "optimized geometry",
  "cell": [[3.895, -7.641, 0.000], [3.895, 7.641, 0.000], [-1.560, 0.000, 6.763]],
  "species": ["K", "K", "Rb", "Rb", "Ti", "Ti", "Se", "Se", "Se", "Se", "Se", "Se"],
  "frac_coords": [[0.089, 0.911, 0.750], [0.911, 0.089, 0.250], [0.264, 0.736, 0.250], [0.736, 0.264, 0.750], [0.453, 0.547, 0.750], [0.547, 0.453, 0.250], [0.251, 0.332, 0.001], [0.297, 0.703, 0.750], [0.332, 0.251, 0.501], [0.668, 0.749, 0.499], [0.703, 0.297, 0.250], [0.749, 0.668, 0.999]],
  "mass_density_g_cm3": 3.38,
  "formation_energy_uncorrected_mev_per_atom": -1216
}

***

2.
{
  "formula": "KRbTlSe2",
  "functional": "GGA-PBE",
  "state": "optimized geometry",
  "cell": [[7.859, 0.000, 0.000], [0.000, 7.401, 0.000], [-0.056, 0.000, 8.555]],
  "species": ["K", "K", "Rb", "Rb", "Tl", "Tl", "Se", "Se", "Se", "Se"],
  "frac_coords": [[0.000, 0.000, 0.250], [0.000, 0.000, 0.750], [0.500, 0.495, 0.250], [0.500, 0.505, 0.750], [0.000, 0.500, 0.000], [0.000, 0.500, 0.500], [0.243, 0.239, 0.502], [0.243, 0.761, 0.002], [0.757, 0.239, 0.998], [0.757, 0.761, 0.498]],
  "mass_density_g_cm3": 3.25,
  "formation_energy_uncorrected_mev_per_atom": -627
}

***

3.
{
  "formula": "KRb2Tl2Se4",
  "functional": "GGA-PBE",
  "state": "optimized geometry",
  "cell": [[8.695, -2.589, 0.000], [8.695, 2.589, 0.000], [-2.285, 0.000, 7.179]],
  "species": ["K", "Rb", "Rb", "Tl", "Tl", "Se", "Se", "Se", "Se"],
  "frac_coords": [[0.000, 0.000, 0.000], [0.138, 0.138, 0.564], [0.862, 0.862, 0.436], [0.338, 0.338, 0.006], [0.662, 0.662, 0.994], [0.206, 0.206, 0.177], [0.479, 0.479, 0.318], [0.521, 0.521, 0.682], [0.794, 0.794, 0.823]],
  "mass_density_g_cm3": 4.80,
  "formation_energy_uncorrected_mev_per_atom": -753
}

***

4.
{
  "formula": "KRb2U2Se7",
  "functional": "GGA-PBE",
  "state": "optimized geometry",
  "cell": [[-2.727, 2.727, 14.080], [2.727, -2.727, 14.080], [2.727, 2.727, -14.080]],
  "species": ["K", "Rb", "Rb", "U", "U", "Se", "Se", "Se", "Se", "Se", "Se", "Se"],
  "frac_coords": [[0.000, 0.000, 0.000], [0.185, 0.185, 0.000], [0.815, 0.815, 0.000], [0.403, 0.403, 0.000], [0.597, 0.597, 0.000], [0.094, 0.594, 0.500], [0.310, 0.310, 0.000], [0.406, 0.906, 0.500], [0.500, 0.500, 0.000], [0.594, 0.094, 0.500], [0.690, 0.690, 0.000], [0.906, 0.406, 0.500]],
  "mass_density_g_cm3": 4.91,
  "formation_energy_uncorrected_mev_per_atom": -1156
}

***

5.
{
  "formula": "K2Rb3USe6",
  "functional": "GGA-PBE",
  "state": "optimized geometry",
  "cell": [[4.073, -6.990, 0.000], [4.073, 6.990, 0.000], [-2.763, 0.000, 7.699]],
  "species": ["K", "K", "Rb", "Rb", "Rb", "U", "Se", "Se", "Se", "Se", "Se", "Se"],
  "frac_coords": [[0.166, 0.834, 0.000], [0.834, 0.166, 0.000], [0.000, 0.000, 0.500], [0.323, 0.677, 0.500], [0.677, 0.323, 0.500], [0.500, 0.500, 0.000], [0.156, 0.433, 0.797], [0.298, 0.298, 0.203], [0.433, 0.156, 0.797], [0.567, 0.844, 0.203], [0.702, 0.702, 0.797], [0.844, 0.567, 0.203]],
  "mass_density_g_cm3": 3.96,
  "formation_energy_uncorrected_mev_per_atom": -1121
}

***

6.
{
  "formula": "KRb2U3Se8",
  "functional": "GGA-PBE",
  "state": "optimized geometry",
  "cell": [[4.280, 2.471, 8.198], [-4.280, 2.471, 8.198], [0.000, -4.942, 8.198]],
  "species": ["K", "Rb", "Rb", "U", "U", "U", "Se", "Se", "Se", "Se", "Se", "Se", "Se", "Se"],
  "frac_coords": [[0.000, 0.000, 0.000], [0.266, 0.266, 0.266], [0.631, 0.631, 0.631], [0.131, 0.632, 0.632], [0.632, 0.131, 0.632], [0.632, 0.632, 0.131], [0.374, 0.374, 0.826], [0.374, 0.826, 0.374], [0.404, 0.404, 0.404], [0.434, 0.890, 0.890], [0.826, 0.374, 0.374], [0.861, 0.861, 0.861], [0.890, 0.434, 0.890], [0.890, 0.890, 0.434]],
  "mass_density_g_cm3": 4.97,
  "formation_energy_uncorrected_mev_per_atom": -1193
}

***

7.
{
  "formula": "KRbUSe4",
  "functional": "GGA-PBE",
  "state": "optimized geometry",
  "cell": [[3.842, -8.514, 0.000], [3.842, 8.514, 0.000], [0.000, 0.000, 7.684]],
  "species": ["K", "K", "Rb", "Rb", "U", "U", "Se", "Se", "Se", "Se", "Se", "Se", "Se", "Se"],
  "frac_coords": [[0.108, 0.892, 0.750], [0.892, 0.108, 0.250], [0.396, 0.604, 0.750], [0.604, 0.396, 0.250], [0.249, 0.751, 0.250], [0.751, 0.249, 0.750], [0.000, 0.500, 0.000], [0.000, 0.500, 0.500], [0.095, 0.905, 0.250], [0.402, 0.598, 0.250], [0.500, 0.000, 0.000], [0.500, 0.000, 0.500], [0.598, 0.402, 0.750], [0.905, 0.095, 0.750]],
  "mass_density_g_cm3": 4.48,
  "formation_energy_uncorrected_mev_per_atom": -1144
}

***

8.
{
  "formula": "KRb2USe6",
  "functional": "GGA-PBE",
  "state": "optimized geometry",
  "cell": [[0.000, 5.821, 5.821], [5.821, 0.000, 5.821], [5.821, 5.821, 0.000]],
  "species": ["K", "Rb", "Rb", "U", "Se", "Se", "Se", "Se", "Se", "Se"],
  "frac_coords": [[0.000, 0.000, 0.000], [0.250, 0.250, 0.250], [0.750, 0.750, 0.750], [0.500, 0.500, 0.500], [0.272, 0.272, 0.728], [0.272, 0.728, 0.272], [0.272, 0.728, 0.728], [0.728, 0.272, 0.272], [0.728, 0.272, 0.728], [0.728, 0.728, 0.272]],
  "mass_density_g_cm3": 3.88,
  "formation_energy_uncorrected_mev_per_atom": -811
}

***

9.
{
  "formula": "KRbVSe4",
  "functional": "GGA-PBE",
  "state": "optimized geometry",
  "cell": [[7.355, 0.000, 0.000], [0.000, 6.150, 0.000], [-2.506, 0.000, 10.847]],
  "species": ["K", "K", "Rb", "Rb", "V", "V", "Se", "Se", "Se", "Se", "Se", "Se", "Se", "Se"],
  "frac_coords": [[0.219, 0.250, 0.051], [0.781, 0.750, 0.949], [0.269, 0.250, 0.542], [0.731, 0.750, 0.458], [0.213, 0.750, 0.789], [0.787, 0.250, 0.211], [0.014, 0.520, 0.267], [0.014, 0.980, 0.267], [0.335, 0.750, 0.993], [0.436, 0.750, 0.677], [0.564, 0.250, 0.323], [0.665, 0.250, 0.007], [0.986, 0.020, 0.733], [0.986, 0.480, 0.733]],
  "mass_density_g_cm3": 3.33,
  "formation_energy_uncorrected_mev_per_atom": -858
}

***

10.
{
  "formula": "KRbVSe3",
  "functional": "GGA-PBE",
  "state": "optimized geometry",
  "cell": [[5.882, -4.051, 0.000], [5.882, 4.051, 0.000], [-3.634, 0.000, 8.552]],
  "species": ["K", "K", "Rb", "Rb", "V", "V", "Se", "Se", "Se", "Se", "Se", "Se"],
  "frac_coords": [[0.241, 0.759, 0.000], [0.759, 0.241, 0.000], [0.173, 0.173, 0.693], [0.827, 0.827, 0.307], [0.478, 0.478, 0.346], [0.522, 0.522, 0.654], [0.178, 0.634, 0.631], [0.288, 0.288, 0.135], [0.366, 0.822, 0.369], [0.634, 0.178, 0.631], [0.712, 0.712, 0.865], [0.822, 0.366, 0.369]],
  "mass_density_g_cm3": 3.36,
  "formation_energy_uncorrected_mev_per_atom": -826
}

***

11.
{
  "formula": "KRbWSe4",
  "functional": "GGA-PBE",
  "state": "optimized geometry",
  "cell": [[7.125, 0.000, 0.000], [0.000, 7.335, 0.000], [-3.335, 0.000, 9.476]],
  "species": ["K", "K", "Rb", "Rb", "W", "W", "Se", "Se", "Se", "Se", "Se", "Se", "Se", "Se"],
  "frac_coords": [[0.212, 0.250, 0.029], [0.788, 0.750, 0.971], [0.318, 0.250, 0.592], [0.682, 0.750, 0.408], [0.182, 0.750, 0.786], [0.818, 0.250, 0.214], [0.025, 0.505, 0.277], [0.025, 0.995, 0.277], [0.343, 0.750, 0.031], [0.409, 0.750, 0.662], [0.591, 0.250, 0.338], [0.657, 0.250, 0.969], [0.975, 0.005, 0.723], [0.975, 0.495, 0.723]],
  "mass_density_g_cm3": 4.19,
  "formation_energy_uncorrected_mev_per_atom": -840
}

***

12.
{
  "formula": "K2RbWSe4",
  "functional": "GGA-PBE",
  "state": "optimized geometry",
  "cell": [[8.594, 0.000, 0.000], [0.000, 8.594, 0.000], [0.000, 0.000, 8.329]],
  "species": ["K", "K", "K", "K", "Rb", "Rb", "W", "W", "Se", "Se", "Se", "Se", "Se", "Se", "Se", "Se"],
  "frac_coords": [[0.000, 0.000, 0.000], [0.000, 0.500, 0.250], [0.500, 0.000, 0.750], [0.500, 0.500, 0.500], [0.000, 0.000, 0.500], [0.500, 0.500, 0.000], [0.000, 0.500, 0.750], [0.500, 0.000, 0.250], [0.155, 0.331, 0.912], [0.169, 0.655, 0.588], [0.331, 0.845, 0.088], [0.345, 0.169, 0.412], [0.655, 0.831, 0.412], [0.669, 0.155, 0.088], [0.831, 0.345, 0.588], [0.845, 0.669, 0.912]],
  "mass_density_g_cm3": 3.58,
  "formation_energy_uncorrected_mev_per_atom": -791
}